Material: HoBeSi2Pd
Method: DFT, PBE-GGA
State: relaxed

- Total moment: 0.00 μB per formula unit
- Symmetry: I-4m2
- Formation energy (no corrections): -3.6 eV per formula unit
- Calculated density: 7.09 g/cm3

Geometry as POSCAR:
```
HoBeSi2Pd
1.0
3.930 0.000 0.000
0.000 3.930 0.000
0.000 0.000 10.209
Ho Be Si Pd
2 2 4 2
Direct
0.000 0.000 0.000
0.500 0.500 0.500
0.000 0.500 0.250
0.500 0.000 0.750
0.000 0.000 0.385
0.000 0.000 0.615
0.500 0.500 0.115
0.500 0.500 0.885
0.000 0.500 0.750
0.500 0.000 0.250
```